HoLuTiCd | the Alexandria database | PBE | optimized geometry; total magnetic moment = 2.59 μB/cell; energy relative to the elements = 0.19 eV/f.u.
1.0
-2.988 -4.066 1.147
1.729 -3.651 3.234
-2.053 -0.450 4.729
Lu Cd Ho Ti
1 1 1 1
direct
0.500 0.500 0.500
0.250 0.250 0.250
0.000 0.000 0.000
0.750 0.750 0.750